# 1
Below is a relaxed structure of K2HoBe2O4, with properties calculated at the PBE level.

abc: 6.261 6.261 9.359
angles: 100.60 100.60 30.86
Fractional coordinates of all 9 atoms:
K 0.154 0.154 0.186
K 0.846 0.846 0.814
Ho 0.000 0.000 0.500
Be 0.315 0.315 0.522
Be 0.685 0.685 0.478
O 0.196 0.196 0.569
O 0.435 0.435 0.621
O 0.565 0.565 0.379
O 0.804 0.804 0.431

Values from the calculation:
- electronic total energy (eV per atom) = -6.049
- space-group type = C2/m (12)

---

# 2
Below is a relaxed structure of K2HoBe2S4, with properties calculated at the PBE level.

abc: 7.492 7.492 7.812
angles: 111.12 111.12 28.36
Fractional coordinates of all 9 atoms:
K 0.128 0.128 0.048
K 0.872 0.872 0.952
Ho 0.000 0.000 0.500
Be 0.329 0.329 0.522
Be 0.671 0.671 0.478
S 0.207 0.207 0.642
S 0.467 0.467 0.734
S 0.533 0.533 0.266
S 0.793 0.793 0.358

Values from the calculation:
- electronic total energy (eV per atom) = -4.626
- space-group type = C2/m (12)

---

# 3
Below is a relaxed structure of KHoBeSe3, with properties calculated at the PBE level.

abc: 9.257 3.997 9.488
angles: 90.00 108.71 90.00
Fractional coordinates of all 12 atoms:
K 0.202 0.250 0.232
K 0.798 0.750 0.768
Ho 0.332 0.750 0.854
Ho 0.668 0.250 0.146
Be 0.077 0.250 0.603
Be 0.923 0.750 0.397
Se 0.111 0.250 0.845
Se 0.176 0.750 0.529
Se 0.460 0.750 0.167
Se 0.540 0.250 0.833
Se 0.824 0.250 0.471
Se 0.889 0.750 0.155

Values from the calculation:
- electronic total energy (eV per atom) = -4.710
- space-group type = P2_1/m (11)

---

# 4
Below is a relaxed structure of LaHoBeN2, with properties calculated at the PBE level.

abc: 5.388 4.985 6.548
angles: 90.00 90.03 90.00
Fractional coordinates of all 10 atoms:
La 0.000 0.002 0.250
La 0.000 0.998 0.750
Ho 0.500 0.499 0.750
Ho 0.500 0.501 0.250
Be 0.500 0.000 0.000
Be 0.500 0.000 0.500
N 0.302 0.232 0.000
N 0.302 0.768 0.500
N 0.698 0.232 0.500
N 0.698 0.768 0.000

Values from the calculation:
- electronic total energy (eV per atom) = -6.872
- space-group type = P2/c (13)

---

# 5
Below is a relaxed structure of LaHoBe2Pd5, with properties calculated at the PBE level.

abc: 4.094 4.094 9.106
angles: 90.00 90.00 90.00
Fractional coordinates of all 9 atoms:
La 0.000 0.000 0.000
Ho 0.000 0.000 0.500
Be 0.500 0.500 0.371
Be 0.500 0.500 0.629
Pd 0.000 0.500 0.251
Pd 0.000 0.500 0.749
Pd 0.500 0.000 0.251
Pd 0.500 0.000 0.749
Pd 0.500 0.500 0.000

Values from the calculation:
- electronic total energy (eV per atom) = -5.462
- space-group type = P4/mmm (123)

---

# 6
Below is a relaxed structure of LaHoBeZn, with properties calculated at the PBE level.

abc: 5.072 5.072 5.072
angles: 60.00 60.00 60.00
Fractional coordinates of all 4 atoms:
La 0.000 0.000 0.000
Ho 0.500 0.500 0.500
Be 0.250 0.250 0.250
Zn 0.750 0.750 0.750

Values from the calculation:
- electronic total energy (eV per atom) = -3.673
- space-group type = F-43m (216)

---

# 7
Below is a relaxed structure of LiHoBe, with properties calculated at the PBE level.

abc: 9.167 9.167 3.913
angles: 90.00 90.00 158.34
Fractional coordinates of all 6 atoms:
Li 0.209 0.791 0.750
Li 0.791 0.209 0.250
Ho 0.404 0.596 0.750
Ho 0.596 0.404 0.250
Be 0.028 0.972 0.750
Be 0.972 0.028 0.250

Values from the calculation:
- electronic total energy (eV per atom) = -3.327
- space-group type = Cmcm (63)

---

# 8
Below is a relaxed structure of LiHoMgBe, with properties calculated at the PBE level.

abc: 4.722 4.722 4.722
angles: 60.00 60.00 60.00
Fractional coordinates of all 4 atoms:
Li 0.000 0.000 0.000
Ho 0.750 0.750 0.750
Mg 0.250 0.250 0.250
Be 0.500 0.500 0.500

Values from the calculation:
- electronic total energy (eV per atom) = -2.900
- space-group type = F-43m (216)

---

Calculated volume in order - 20.52; 21.48; 27.70; 17.59; 16.96; 23.06; 20.23; 18.61 A^3/atom